Entry 1:
The following is a GGA-PBE calculation of Sc2ZnPt4 after structural relaxation, from Alexandria via LeMat-Bulk.

Cell: 4.6178 4.6178 7.4640 Å, 108.02 108.02 90.00°
Last column: nearest neighbours and their distance in Å.
Fractional coordinates of all 7 atoms:
Pt (0.8132, 0.8132, 0.6265)  1 Sc 2.46, 1 Zn 2.51
Pt (0.5000, 0.0000, 0.0000)  2 Zn 2.31
Pt (0.0000, 0.5000, 0.0000)  2 Zn 2.31
Pt (0.1868, 0.1868, 0.3735)  1 Sc 2.46, 1 Zn 2.51
Zn (0.0000, 0.0000, 0.0000)  6 Pt 2.31-2.51
Sc (0.3698, 0.3698, 0.7395)  1 Pt 2.46
Sc (0.6302, 0.6302, 0.2605)  1 Pt 2.46

Calculated values
crystal system = tetragonal
calculated formation energy = -0.254 eV per atom
D(E_F) = 3.99 states/eV per cell

=====

Entry 2:
The following is a GGA-PBE calculation of Na2PmInBr6 after structural relaxation, from Alexandria via LeMat-Bulk.

Cell: 7.6530 7.6529 8.2536 Å, 62.37 62.36 59.98°
Last column: nearest neighbours and their distance in Å.
Fractional coordinates of all 10 atoms:
Na (0.0059, 0.0059, 0.9824)  6 Br 2.97-3.08
Na (0.5183, 0.5182, 0.4452)  6 Br 3.02-3.12
In (0.8086, 0.8087, 0.5740)  6 Br 3.22-3.44
Pm (0.3242, 0.3242, 0.0275)  6 Br 2.89-2.91
Br (0.9351, 0.5858, 0.2370)  1 Pm 2.89, 2 Na 3.02-3.08
Br (0.7228, 0.1448, 0.7585)  1 Pm 2.91, 2 Na 2.97-3.12, 1 In 3.22
Br (0.1450, 0.3739, 0.7586)  1 Pm 2.91, 2 Na 2.97-3.12, 1 In 3.22
Br (0.2423, 0.9351, 0.2368)  1 Pm 2.89, 2 Na 3.02-3.08
Br (0.3738, 0.7227, 0.7584)  1 Pm 2.91, 2 Na 2.97-3.12, 1 In 3.22
Br (0.5857, 0.2424, 0.2368)  1 Pm 2.89, 2 Na 3.02-3.08

Calculated values
crystal system = trigonal
D(E_F) = 0.00 states/eV per cell
E_form (uncorrected) = -145 kJ/mol of atoms

=====

Entry 3:
The following is a GGA-PBE calculation of HfV2N2 after structural relaxation, from Alexandria via LeMat-Bulk.

Cell: 3.2095 3.2095 5.7706 Å, 73.85 73.85 90.00°
Last column: nearest neighbours and their distance in Å.
Fractional coordinates of all 5 atoms:
N (0.3806, 0.3806, 0.2387)  4 V 2.12
N (0.6194, 0.6194, 0.7613)  4 V 2.12
Hf (0.0000, 0.0000, 0.0000)  8 N 2.60
V (0.2500, 0.7500, 0.5000)  4 N 2.12, 4 V 2.27
V (0.7500, 0.2500, 0.5000)  4 N 2.12, 4 V 2.27

Calculated values
crystal system = tetragonal
D(E_F) = 1.76 states/eV per cell
E_form (uncorrected) = -47 kJ/mol of atoms